# Ce12PtAu6 | the Alexandria database | PBE | optimized geometry
# Total moment ... 8.33 μB/f.u.
# Formation energy ... -397.9 meV/atom
# Total energy ... -5.499 eV per atom
data_Ce12PtAu6
_space_group_name_H-M_alt 'R -3'
_space_group_IT_number 148
_space_group_name_Hall '-R 3'
_cell_length_a 11.3508
_cell_length_b 11.3508
_cell_length_c 12.7056
_cell_angle_alpha 90.00
_cell_angle_beta 90.00
_cell_angle_gamma 120.00
loop_
_atom_site_label
_atom_site_fract_x
_atom_site_fract_y
_atom_site_fract_z
_atom_site_occupancy
Ce1 0.0515 0.1953 0.3225 1
Ce2 0.0634 0.8407 0.8834 1
Pt1 0.0000 0.0000 0.5000 1
Au1 0.0268 0.4436 0.2174 1